1.
! Ho2Al2Ag | the Alexandria database | PBE | optimized geometry; values from VASP
! energy above the most stable polymorph in this dataset = 0.000 eV per atom
! crystal system = monoclinic
! space group = C2/m (12)
&SYSTEM
  ibrav = 0, nat = 10, ntyp = 3
/
ATOMIC_SPECIES
Ho 164.93 Ho.upf
Al 26.98 Al.upf
Ag 107.87 Ag.upf
CELL_PARAMETERS angstrom
5.395 -2.259 0.000
5.395 2.259 0.000
-4.831 0.000 9.388
ATOMIC_POSITIONS crystal
Ho 0.008 0.008 0.328
Ho 0.181 0.181 0.102
Ho 0.819 0.819 0.898
Ho 0.992 0.992 0.672
Al 0.362 0.362 0.436
Al 0.478 0.478 0.115
Al 0.522 0.522 0.885
Al 0.638 0.638 0.564
Ag 0.275 0.275 0.651
Ag 0.725 0.725 0.349

=====

2.
! Ho3AlAg | the Alexandria database | PBE | optimized geometry; values from VASP
! energy above the most stable polymorph in this dataset = 0.000 eV per atom
! crystal system = orthorhombic
! space group = Cmcm (63)
&SYSTEM
  ibrav = 0, nat = 10, ntyp = 3
/
ATOMIC_SPECIES
Ho 164.93 Ho.upf
Al 26.98 Al.upf
Ag 107.87 Ag.upf
CELL_PARAMETERS angstrom
2.516 -10.079 0.000
2.516 10.079 0.000
0.000 0.000 5.034
ATOMIC_POSITIONS crystal
Ho 0.063 0.937 0.750
Ho 0.249 0.751 0.750
Ho 0.434 0.566 0.750
Ho 0.566 0.434 0.250
Ho 0.751 0.249 0.250
Ho 0.937 0.063 0.250
Al 0.157 0.843 0.250
Al 0.843 0.157 0.750
Ag 0.339 0.661 0.250
Ag 0.661 0.339 0.750

=====

3.
! HoAl4Ag6 | the Alexandria database | PBE | optimized geometry; values from VASP
! energy above the most stable polymorph in this dataset = 0.000 eV per atom
! crystal system = hexagonal
! space group = P-6m2 (187)
&SYSTEM
  ibrav = 0, nat = 11, ntyp = 3
/
ATOMIC_SPECIES
Ho 164.93 Ho.upf
Al 26.98 Al.upf
Ag 107.87 Ag.upf
CELL_PARAMETERS angstrom
7.426 0.000 0.000
-3.713 6.431 0.000
0.000 0.000 4.277
ATOMIC_POSITIONS crystal
Ho 0.000 0.000 0.000
Al 0.333 0.667 0.000
Al 0.397 0.199 0.500
Al 0.801 0.199 0.500
Al 0.801 0.603 0.500
Ag 0.201 0.402 0.500
Ag 0.201 0.799 0.500
Ag 0.536 0.071 0.000
Ag 0.536 0.464 0.000
Ag 0.598 0.799 0.500
Ag 0.929 0.464 0.000

=====

4.
! HoAl4Ag2 | the Alexandria database | PBE | optimized geometry; values from VASP
! crystal system = monoclinic
! space group = C2/m (12)
&SYSTEM
  ibrav = 0, nat = 7, ntyp = 3
/
ATOMIC_SPECIES
Ho 164.93 Ho.upf
Al 26.98 Al.upf
Ag 107.87 Ag.upf
CELL_PARAMETERS angstrom
4.670 -3.282 0.000
4.670 3.282 0.000
-2.708 0.000 4.364
ATOMIC_POSITIONS crystal
Ho 0.000 0.000 0.000
Al 0.017 0.609 0.293
Al 0.391 0.983 0.707
Al 0.609 0.017 0.293
Al 0.983 0.391 0.707
Ag 0.441 0.441 0.697
Ag 0.559 0.559 0.303

=====

5.
! Ho2AlAg | the Alexandria database | PBE | optimized geometry; values from VASP
! crystal system = trigonal
! space group = R-3m (166)
&SYSTEM
  ibrav = 0, nat = 4, ntyp = 3
/
ATOMIC_SPECIES
Ho 164.93 Ho.upf
Al 26.98 Al.upf
Ag 107.87 Ag.upf
CELL_PARAMETERS angstrom
1.685 0.973 10.542
-1.685 0.973 10.542
0.000 -1.945 10.542
ATOMIC_POSITIONS crystal
Ho 0.094 0.094 0.094
Ho 0.906 0.906 0.906
Al 0.500 0.500 0.500
Ag 0.000 0.000 0.000

=====

6.
! Ho7Al2Ag2 | the Alexandria database | PBE | optimized geometry; values from VASP
! crystal system = orthorhombic
! space group = Cmmm (65)
&SYSTEM
  ibrav = 0, nat = 11, ntyp = 3
/
ATOMIC_SPECIES
Ho 164.93 Ho.upf
Al 26.98 Al.upf
Ag 107.87 Ag.upf
CELL_PARAMETERS angstrom
3.896 -5.445 0.000
3.896 5.445 0.000
0.000 0.000 7.337
ATOMIC_POSITIONS crystal
Ho 0.000 0.000 0.000
Ho 0.000 0.500 0.279
Ho 0.000 0.500 0.721
Ho 0.500 0.000 0.279
Ho 0.500 0.000 0.721
Ho 0.500 0.500 0.266
Ho 0.500 0.500 0.734
Al 0.168 0.168 0.500
Al 0.832 0.832 0.500
Ag 0.293 0.707 0.000
Ag 0.707 0.293 0.000

=====

7.
! Ho3Al8Ag | the Alexandria database | PBE | optimized geometry; values from VASP
! crystal system = trigonal
! space group = R3m (160)
&SYSTEM
  ibrav = 0, nat = 12, ntyp = 3
/
ATOMIC_SPECIES
Ho 164.93 Ho.upf
Al 26.98 Al.upf
Ag 107.87 Ag.upf
CELL_PARAMETERS angstrom
2.754 1.590 8.961
-2.754 1.590 8.961
0.000 -3.180 8.961
ATOMIC_POSITIONS crystal
Ho 0.000 0.000 0.000
Ho 0.129 0.129 0.129
Ho 0.620 0.620 0.620
Al 0.060 0.564 0.564
Al 0.063 0.063 0.567
Al 0.063 0.567 0.063
Al 0.313 0.313 0.313
Al 0.564 0.060 0.564
Al 0.564 0.564 0.060
Al 0.567 0.063 0.063
Al 0.814 0.814 0.814
Ag 0.492 0.492 0.492

=====

8.
! HoAlAg2 | the Alexandria database | PBE | optimized geometry; values from VASP
! crystal system = cubic
! space group = Fm-3m (225)
&SYSTEM
  ibrav = 0, nat = 4, ntyp = 3
/
ATOMIC_SPECIES
Ho 164.93 Ho.upf
Al 26.98 Al.upf
Ag 107.87 Ag.upf
CELL_PARAMETERS angstrom
0.000 3.409 3.409
3.409 0.000 3.409
3.409 3.409 0.000
ATOMIC_POSITIONS crystal
Ho 0.000 0.000 0.000
Al 0.500 0.500 0.500
Ag 0.250 0.250 0.250
Ag 0.750 0.750 0.750

=====

no.,calculated formation energy (meV per atom)
1,-395.3
2,-253.4
3,-155.7
4,-176.2
5,137.1
6,24.1
7,-347.0
8,-327.1